Below is a geometry-optimized Nd3NiPd3 structure, with properties calculated at the PBE-GGA level.

Its energy of formation is -670.0 meV per atom. For the density of states at the Fermi level, the calculation gives 0.5833 states/eV/atom.

The structure belongs to space group Imm2 (No. 44); the cell edges are 3.9409, 4.4411 and 18.3618 Å and the angles 90.00°, 90.00° and 90.00°. The distinct sites, in fractional coordinates, are Nd at (0.0000, 0.0000, 0.0000), Nd at (0.0000, 0.0000, 0.3649), Nd at (0.0000, 0.5000, 0.1864), Ni at (0.0000, 0.5000, 0.7556), Pd at (0.0000, 0.0000, 0.5306), Pd at (0.0000, 0.0000, 0.8297) and Pd at (0.0000, 0.5000, 0.6216).